{
  "formula": "Ac6Si2Te3I",
  "functional": "GGA-PBE",
  "state": "optimized geometry",
  "lattice_angstrom": [[-2.571, -1.058, 3.727], [3.120, -8.979, -0.398], [8.180, 5.122, 4.196]],
  "species": ["Si", "Te", "Si", "Ac", "Ac", "Ac", "Ac", "Ac", "Te", "Te", "Ac", "I"],
  "fractional_positions": [[0.168, 0.332, 0.336], [0.158, 0.836, 0.316], [0.832, 0.668, 0.664], [0.015, 0.269, 0.030], [0.673, 0.567, 0.346], [0.325, 0.884, 0.649], [0.327, 0.433, 0.654], [0.675, 0.116, 0.351], [0.500, 0.500, 0.000], [0.842, 0.164, 0.684], [0.985, 0.731, 0.970], [0.500, 0.000, 0.000]]
}

{
  "formula": "Ac4TlSiI2",
  "functional": "GGA-PBE",
  "state": "optimized geometry",
  "lattice_angstrom": [[-4.129, -0.424, -2.201], [3.944, -0.398, -7.323], [-0.830, -7.786, 3.056]],
  "species": ["Ac", "Tl", "Ac", "I", "Si", "I", "Ac", "Ac"],
  "fractional_positions": [[0.500, 0.747, 0.784], [0.000, 0.000, 0.000], [0.000, 0.275, 0.794], [0.000, 0.500, 0.500], [0.500, 0.500, 0.000], [0.500, 0.000, 0.500], [0.500, 0.253, 0.216], [0.000, 0.725, 0.206]]
}

{
  "formula": "Ac6TlSi2I3",
  "functional": "GGA-PBE",
  "state": "optimized geometry",
  "lattice_angstrom": [[4.620, 0.000, 0.000], [0.000, 9.835, 0.199], [-2.310, -2.986, 10.101]],
  "species": ["Tl", "Ac", "Ac", "I", "Ac", "Ac", "I", "Si", "Ac", "Ac", "I", "Si"],
  "fractional_positions": [[0.500, 0.000, 0.000], [0.321, 0.440, 0.643], [0.679, 0.560, 0.357], [0.165, 0.835, 0.330], [0.015, 0.245, 0.031], [0.985, 0.755, 0.969], [0.500, 0.500, 0.000], [0.168, 0.340, 0.337], [0.663, 0.125, 0.326], [0.337, 0.875, 0.674], [0.835, 0.165, 0.670], [0.832, 0.660, 0.663]]
}

{
  "formula": "Ac4ZnSiI2",
  "functional": "GGA-PBE",
  "state": "optimized geometry",
  "lattice_angstrom": [[-0.626, -4.498, 0.264], [1.055, 0.328, 8.096], [-8.230, 1.055, -1.550]],
  "species": ["I", "Ac", "Zn", "Ac", "Ac", "Ac", "Si", "I"],
  "fractional_positions": [[0.000, 0.500, 0.500], [0.000, 0.737, 0.207], [0.500, 0.500, 0.000], [0.500, 0.229, 0.205], [0.000, 0.263, 0.793], [0.500, 0.771, 0.795], [0.000, 0.000, 0.000], [0.500, 0.000, 0.500]]
}

{
  "formula": "Ac8Zn3SiI4",
  "functional": "GGA-PBE",
  "state": "optimized geometry",
  "lattice_angstrom": [[9.254, 0.000, 0.000], [0.000, 9.690, 0.302], [-4.627, -4.625, 6.546]],
  "species": ["Ac", "Ac", "Zn", "I", "Si", "Ac", "Ac", "Ac", "I", "Zn", "I", "Ac", "Ac", "Zn", "Ac", "I"],
  "fractional_positions": [[0.258, 0.293, 0.025], [0.767, 0.293, 0.025], [0.500, 0.500, 0.500], [0.500, 0.000, 0.500], [0.000, 0.500, 0.000], [0.233, 0.707, 0.466], [0.233, 0.707, 0.975], [0.263, 0.288, 0.525], [0.000, 0.000, 0.500], [0.000, 0.500, 0.500], [0.500, 0.000, 0.000], [0.767, 0.293, 0.534], [0.742, 0.707, 0.975], [0.500, 0.500, 0.000], [0.737, 0.712, 0.475], [0.000, 0.000, 0.000]]
}

{
  "formula": "Ac8ZnSi3I4",
  "functional": "GGA-PBE",
  "state": "optimized geometry",
  "lattice_angstrom": [[-7.021, -6.015, 0.129], [6.031, -7.096, -2.621], [2.001, 4.934, 7.559]],
  "species": ["Ac", "I", "Ac", "Si", "Zn", "Ac", "Ac", "Si", "Ac", "Si", "Ac", "Ac", "I", "I", "I", "Ac"],
  "fractional_positions": [[0.236, 0.704, 0.472], [0.500, 0.000, 0.500], [0.268, 0.296, 0.032], [0.500, 0.500, 0.000], [0.000, 0.500, 0.000], [0.236, 0.704, 0.968], [0.734, 0.701, 0.467], [0.000, 0.500, 0.500], [0.764, 0.296, 0.032], [0.500, 0.500, 0.500], [0.266, 0.299, 0.533], [0.764, 0.296, 0.528], [0.500, 0.000, 0.000], [0.000, 0.000, 0.500], [0.000, 0.000, 0.000], [0.732, 0.704, 0.968]]
}

{
  "formula": "AcSmI6",
  "functional": "GGA-PBE",
  "state": "optimized geometry",
  "lattice_angstrom": [[-1.635, 1.011, 7.664], [-7.469, -0.450, 2.540], [-2.232, -6.902, 4.508]],
  "species": ["I", "I", "I", "Sm", "Ac", "I", "I", "I"],
  "fractional_positions": [[0.926, 0.592, 0.244], [0.074, 0.408, 0.756], [0.761, 0.075, 0.757], [0.000, 0.000, 0.000], [0.500, 0.500, 0.500], [0.592, 0.239, 0.244], [0.408, 0.761, 0.756], [0.239, 0.925, 0.243]]
}

{
  "formula": "AcSm2I",
  "functional": "GGA-PBE",
  "state": "optimized geometry",
  "lattice_angstrom": [[-2.415, 0.953, 2.769], [-1.604, -3.434, -0.217], [6.304, -3.365, 6.658]],
  "species": ["Ac", "Sm", "Sm", "I"],
  "fractional_positions": [[0.500, 0.500, 0.000], [0.000, 0.000, 0.266], [0.000, 0.000, 0.734], [0.500, 0.500, 0.500]],
  "polymorph_energy_mev_per_atom": 49
}

{
  "formula": "AcSmI4",
  "functional": "GGA-PBE",
  "state": "optimized geometry",
  "lattice_angstrom": [[-0.317, -0.495, 4.253], [6.699, -4.913, -0.073], [4.382, 6.043, 1.029]],
  "species": ["I", "I", "I", "Ac", "Sm", "I"],
  "fractional_positions": [[0.000, 0.742, 0.683], [0.000, 0.258, 0.317], [0.500, 0.755, 0.152], [0.500, 0.000, 0.500], [0.000, 0.000, 0.000], [0.500, 0.245, 0.848]]
}

{
  "formula": "AcSm2I",
  "functional": "GGA-PBE",
  "state": "optimized geometry",
  "lattice_angstrom": [[3.727, 0.000, 0.000], [1.864, 3.228, 0.000], [1.864, 1.076, 12.179]],
  "species": ["Sm", "I", "Sm", "Ac"],
  "fractional_positions": [[0.902, 0.902, 0.294], [0.500, 0.500, 0.500], [0.098, 0.098, 0.706], [0.000, 0.000, 0.000]],
  "polymorph_energy_mev_per_atom": 216
}

{
  "formula": "AcSm2I",
  "functional": "GGA-PBE",
  "state": "optimized geometry",
  "lattice_angstrom": [[3.880, 0.000, 0.000], [1.940, 3.360, 0.000], [1.940, 1.120, 10.968]],
  "species": ["Sm", "Sm", "I", "Ac"],
  "fractional_positions": [[0.259, 0.259, 0.224], [0.075, 0.075, 0.776], [0.667, 0.667, 0.000], [0.500, 0.500, 0.500]],
  "polymorph_energy_mev_per_atom": 0
}

{
  "formula": "Ac5Sn4I",
  "functional": "GGA-PBE",
  "state": "optimized geometry",
  "lattice_angstrom": [[-1.674, -3.161, -1.586], [3.051, -0.403, -2.417], [10.309, -13.086, 15.201]],
  "species": ["I", "Ac", "Ac", "Sn", "Sn", "Ac", "Sn", "Ac", "Sn", "Ac"],
  "fractional_positions": [[0.000, 0.000, 0.000], [0.500, 0.500, 0.300], [0.500, 0.500, 0.700], [0.000, 0.000, 0.400], [0.000, 0.000, 0.200], [0.500, 0.500, 0.894], [0.000, 0.000, 0.600], [0.500, 0.500, 0.106], [0.000, 0.000, 0.800], [0.500, 0.500, 0.500]]
}

no.,formation energy (no corrections) (meV per atom)
1,-1173.5
2,-771.9
3,-823.2
4,-731.8
5,-646.6
6,-820.5
7,-1420.5
8,-301.2
9,-1287.9
10,-134.1
11,-350.4
12,-682.5